# CrGaTeO2 (PBE with a Hubbard U, relaxed)
# **DFT total energy**: -5.14 eV per atom
data_CrGaTeO2
_cell_length_a 3.841
_cell_length_b 3.841
_cell_length_c 6.168
_cell_angle_alpha 90.00
_cell_angle_beta 90.00
_cell_angle_gamma 90.00
_symmetry_space_group_name_H-M 'P 4/m m m'
_symmetry_Int_Tables_number 123
_symmetry_space_group_name_Hall '-P 4 2'
loop_
_atom_site_label
_atom_site_type_symbol
_atom_site_fract_x
_atom_site_fract_y
_atom_site_fract_z
_atom_site_occupancy
Cr1 Cr 0.000 0.000 0.000 1
Ga1 Ga 0.500 0.500 0.500 1
Te1 Te 0.500 0.500 0.000 1
O1 O 0.000 0.500 0.500 1